--- a ---
The following is a DFT calculation (PBE) of a geometry-optimized Si2AsN structure.

Geometry as CIF:
```
data_Si2AsN
_chemical_formula_sum 'Si2 As1 N1'
_cell_length_a 3.190
_cell_length_b 3.613
_cell_length_c 7.756
_cell_angle_alpha 86.59
_cell_angle_beta 79.01
_cell_angle_gamma 64.19
_symmetry_space_group_name_H-M 'P 1'
_symmetry_Int_Tables_number 1
loop_
_symmetry_equiv_pos_as_xyz
'x,y,z'
loop_
_atom_site_label
_atom_site_type_symbol
_atom_site_fract_x
_atom_site_fract_y
_atom_site_fract_z
Si1 Si 0.000 0.000 0.000
Si2 Si 0.325 0.014 0.364
As1 As 0.564 0.392 0.522
N1 N 0.441 0.997 0.132
```

Output
V: 19.7 Å³/atom

=====

--- b ---
The following is a DFT calculation (PBE) of a geometry-optimized Si2AsN structure.

Geometry as CIF:
```
data_Si2AsN
_chemical_formula_sum 'Si8 As4 N4'
_cell_length_a 5.995
_cell_length_b 5.995
_cell_length_c 5.995
_cell_angle_alpha 90.00
_cell_angle_beta 90.00
_cell_angle_gamma 90.00
_symmetry_space_group_name_H-M 'F m -3 m'
_symmetry_Int_Tables_number 225
_symmetry_space_group_name_Hall '-F 4 2 3'
loop_
_atom_site_label
_atom_site_type_symbol
_atom_site_fract_x
_atom_site_fract_y
_atom_site_fract_z
Si1 Si 0.250 0.250 0.250
As1 As 0.000 0.000 0.000
N1 N 0.000 0.000 0.500
```

Output
V: 13.5 Å³/atom

=====

Tell me which of them is the least stable. Sure, it is b.

=====

--- a ---
The following is a DFT calculation (PBE) of a geometry-optimized SiAs2N structure.

Geometry as CIF:
```
data_SiAs2N
_chemical_formula_sum 'Si4 As8 N4'
_cell_length_a 6.147
_cell_length_b 6.147
_cell_length_c 6.147
_cell_angle_alpha 90.00
_cell_angle_beta 90.00
_cell_angle_gamma 90.00
_symmetry_space_group_name_H-M 'F m -3 m'
_symmetry_Int_Tables_number 225
_symmetry_space_group_name_Hall '-F 4 2 3'
loop_
_atom_site_label
_atom_site_type_symbol
_atom_site_fract_x
_atom_site_fract_y
_atom_site_fract_z
Si1 Si 0.000 0.000 0.000
As1 As 0.250 0.250 0.250
N1 N 0.000 0.000 0.500
```

Output
V: 14.5 Å³/atom

=====

--- b ---
The following is a DFT calculation (PBE) of a geometry-optimized SiAs2N structure.

Geometry as CIF:
```
data_SiAs2N
_chemical_formula_sum 'Si4 As8 N4'
_cell_length_a 4.927
_cell_length_b 4.927
_cell_length_c 11.964
_cell_angle_alpha 90.00
_cell_angle_beta 90.00
_cell_angle_gamma 90.00
_symmetry_space_group_name_H-M 'I -4 2 d'
_symmetry_Int_Tables_number 122
_symmetry_space_group_name_Hall 'I -4 2bw'
loop_
_atom_site_label
_atom_site_type_symbol
_atom_site_fract_x
_atom_site_fract_y
_atom_site_fract_z
Si1 Si 0.000 0.000 0.000
As1 As 0.186 0.250 0.625
N1 N 0.000 0.000 0.500
```

Output
V: 18.2 Å³/atom

=====

Tell me which of them is the least stable. Sure, it is a.

=====

--- a ---
The following is a DFT calculation (PBE) of a geometry-optimized SiAs2N2 structure.

Geometry as CIF:
```
data_SiAs2N2
_chemical_formula_sum 'Si2 As4 N4'
_cell_length_a 5.313
_cell_length_b 5.313
_cell_length_c 4.455
_cell_angle_alpha 90.00
_cell_angle_beta 90.00
_cell_angle_gamma 90.00
_symmetry_space_group_name_H-M 'P 4/m b m'
_symmetry_Int_Tables_number 127
_symmetry_space_group_name_Hall '-P 4 2ab'
loop_
_atom_site_label
_atom_site_type_symbol
_atom_site_fract_x
_atom_site_fract_y
_atom_site_fract_z
Si1 Si 0.000 0.000 0.000
As1 As 0.182 0.318 0.500
N1 N 0.210 0.290 0.000
```

Output
V: 12.6 Å³/atom

=====

--- b ---
The following is a DFT calculation (PBE) of a geometry-optimized SiAs2N2 structure.

Geometry as CIF:
```
data_SiAs2N2
_chemical_formula_sum 'Si2 As4 N4'
_cell_length_a 4.776
_cell_length_b 4.776
_cell_length_c 6.876
_cell_angle_alpha 90.00
_cell_angle_beta 90.00
_cell_angle_gamma 90.00
_symmetry_space_group_name_H-M 'I 4/m m m'
_symmetry_Int_Tables_number 139
_symmetry_space_group_name_Hall '-I 4 2'
loop_
_atom_site_label
_atom_site_type_symbol
_atom_site_fract_x
_atom_site_fract_y
_atom_site_fract_z
Si1 Si 0.000 0.000 0.000
As1 As 0.000 0.500 0.250
N1 N 0.000 0.000 0.246
```

Output
V: 15.7 Å³/atom

=====

Tell me which of them is the least stable. Sure, it is b.

=====

--- a ---
The following is a DFT calculation (PBE) of a geometry-optimized SiAs3N structure.

Geometry as CIF:
```
data_SiAs3N
_chemical_formula_sum 'Si1 As3 N1'
_cell_length_a 4.770
_cell_length_b 4.770
_cell_length_c 4.770
_cell_angle_alpha 90.00
_cell_angle_beta 90.00
_cell_angle_gamma 90.00
_symmetry_space_group_name_H-M 'P m -3 m'
_symmetry_Int_Tables_number 221
_symmetry_space_group_name_Hall '-P 4 2 3'
loop_
_atom_site_label
_atom_site_type_symbol
_atom_site_fract_x
_atom_site_fract_y
_atom_site_fract_z
Si1 Si 0.000 0.000 0.000
As1 As 0.000 0.000 0.500
N1 N 0.500 0.500 0.500
```

Output
V: 21.7 Å³/atom

=====

--- b ---
The following is a DFT calculation (PBE) of a geometry-optimized SiAs3N structure.

Geometry as CIF:
```
data_SiAs3N
_chemical_formula_sum 'Si1 As3 N1'
_cell_length_a 4.351
_cell_length_b 4.351
_cell_length_c 4.351
_cell_angle_alpha 90.00
_cell_angle_beta 90.00
_cell_angle_gamma 90.00
_symmetry_space_group_name_H-M 'P m -3 m'
_symmetry_Int_Tables_number 221
_symmetry_space_group_name_Hall '-P 4 2 3'
loop_
_atom_site_label
_atom_site_type_symbol
_atom_site_fract_x
_atom_site_fract_y
_atom_site_fract_z
Si1 Si 0.000 0.000 0.000
As1 As 0.000 0.500 0.500
N1 N 0.500 0.500 0.500
```

Output
V: 16.5 Å³/atom

=====

Tell me which of them is the least stable. Sure, it is a.

=====

--- a ---
The following is a DFT calculation (PBE) of a geometry-optimized Sn2AsN structure.

Geometry as CIF:
```
data_Sn2AsN
_chemical_formula_sum 'Sn8 As4 N4'
_cell_length_a 6.740
_cell_length_b 6.740
_cell_length_c 6.740
_cell_angle_alpha 90.00
_cell_angle_beta 90.00
_cell_angle_gamma 90.00
_symmetry_space_group_name_H-M 'F m -3 m'
_symmetry_Int_Tables_number 225
_symmetry_space_group_name_Hall '-F 4 2 3'
loop_
_atom_site_label
_atom_site_type_symbol
_atom_site_fract_x
_atom_site_fract_y
_atom_site_fract_z
Sn1 Sn 0.250 0.250 0.250
As1 As 0.000 0.000 0.000
N1 N 0.000 0.000 0.500
```

Output
V: 19.1 Å³/atom

=====

--- b ---
The following is a DFT calculation (PBE) of a geometry-optimized Sn2AsN structure.

Geometry as CIF:
```
data_Sn2AsN
_chemical_formula_sum 'Sn6 As3 N3'
_cell_length_a 4.4316
_cell_length_b 4.4316
_cell_length_c 20.2494
_cell_angle_alpha 90.00
_cell_angle_beta 90.00
_cell_angle_gamma 120.00
_symmetry_space_group_name_H-M 'R -3 m'
_symmetry_Int_Tables_number 166
_symmetry_space_group_name_Hall '-R 3 2"'
loop_
_atom_site_label
_atom_site_type_symbol
_atom_site_fract_x
_atom_site_fract_y
_atom_site_fract_z
Sn1 Sn 0.0000 0.0000 0.0962
As1 As 0.0000 0.0000 0.5000
N1 N 0.0000 0.0000 0.0000
```

Output
V: 28.7 Å³/atom

=====

--- c ---
The following is a DFT calculation (PBE) of a geometry-optimized Sn2AsN structure.

Geometry as CIF:
```
data_Sn2AsN
_chemical_formula_sum 'Sn8 As4 N4'
_cell_length_a 5.555
_cell_length_b 5.555
_cell_length_c 12.179
_cell_angle_alpha 90.00
_cell_angle_beta 90.00
_cell_angle_gamma 90.00
_symmetry_space_group_name_H-M 'I -4 2 d'
_symmetry_Int_Tables_number 122
_symmetry_space_group_name_Hall 'I -4 2bw'
loop_
_atom_site_label
_atom_site_type_symbol
_atom_site_fract_x
_atom_site_fract_y
_atom_site_fract_z
Sn1 Sn 0.171 0.250 0.125
As1 As 0.000 0.000 0.500
N1 N 0.000 0.000 0.000
```

Output
V: 23.5 Å³/atom

=====

Tell me which of them is the least stable. Sure, it is a.

=====

--- a ---
The following is a DFT calculation (PBE) of a geometry-optimized SnAs2N structure.

Geometry as CIF:
```
data_SnAs2N
_chemical_formula_sum 'Sn4 As8 N4'
_cell_length_a 5.265
_cell_length_b 5.265
_cell_length_c 12.298
_cell_angle_alpha 90.00
_cell_angle_beta 90.00
_cell_angle_gamma 90.00
_symmetry_space_group_name_H-M 'I -4 2 d'
_symmetry_Int_Tables_number 122
_symmetry_space_group_name_Hall 'I -4 2bw'
loop_
_atom_site_label
_atom_site_type_symbol
_atom_site_fract_x
_atom_site_fract_y
_atom_site_fract_z
Sn1 Sn 0.000 0.000 0.000
As1 As 0.139 0.250 0.625
N1 N 0.000 0.000 0.500
```

Output
V: 21.3 Å³/atom

=====

--- b ---
The following is a DFT calculation (PBE) of a geometry-optimized SnAs2N structure.

Geometry as CIF:
```
data_SnAs2N
_chemical_formula_sum 'Sn4 As8 N4'
_cell_length_a 6.593
_cell_length_b 6.593
_cell_length_c 6.593
_cell_angle_alpha 90.00
_cell_angle_beta 90.00
_cell_angle_gamma 90.00
_symmetry_space_group_name_H-M 'F m -3 m'
_symmetry_Int_Tables_number 225
_symmetry_space_group_name_Hall '-F 4 2 3'
loop_
_atom_site_label
_atom_site_type_symbol
_atom_site_fract_x
_atom_site_fract_y
_atom_site_fract_z
Sn1 Sn 0.000 0.000 0.000
As1 As 0.250 0.250 0.250
N1 N 0.000 0.000 0.500
```

Output
V: 17.9 Å³/atom

=====

Tell me which of them is the least stable. Sure, it is b.